(1)
Density functional theory data (meta-GGA SCAN) for a PBEsol-optimized structure of SrCr2Cd.

For the uncorrected energy, the calculation gives -21.05 eV per atom. As for the density of states at the Fermi level: 0.89 states/eV per atom. The magnetization is 0.0 μB per cell. For the formation enthalpy at 0 K, the calculation gives 1315 meV/atom.

Cell lengths 2.725, 2.725, 9.434 Å; angles 90.00, 90.00, 90.24 degrees
Element x y z (fractional)
1 Sr 0.000 0.000 0.000
2 Cr 0.500 0.500 0.277
3 Cr 0.500 0.500 0.723
4 Cd 0.000 0.000 0.500

(2)
Density functional theory data (meta-GGA SCAN) for a PBEsol-optimized structure of SrCrCd2.

For the uncorrected energy, the calculation gives -25.40 eV per atom. As for the density of states at the Fermi level: 0.61 states/eV per atom. The magnetization is 4.1 μB per cell. For the formation enthalpy at 0 K, the calculation gives -25 meV/atom.

Cell lengths 3.556, 3.556, 7.437 Å; angles 90.00, 90.00, 90.00 degrees
Element x y z (fractional)
1 Sr 0.000 0.000 0.000
2 Cr 0.000 0.000 0.500
3 Cd 0.500 0.500 0.305
4 Cd 0.500 0.500 0.695

(3)
Density functional theory data (meta-GGA SCAN) for a PBEsol-optimized structure of TaCrCd3.

For the uncorrected energy, the calculation gives -33.86 eV per atom. As for the density of states at the Fermi level: 0.77 states/eV per atom. The magnetization is 2.8 μB per cell. For the formation enthalpy at 0 K, the calculation gives 1382 meV/atom.

Cell lengths 5.261, 5.261, 5.261 Å; angles 90.00, 90.00, 90.00 degrees
Element x y z (fractional)
1 Ta 0.000 0.000 0.000
2 Cr 0.500 0.500 0.500
3 Cd 0.000 0.000 0.500
4 Cd 0.000 0.500 0.000
5 Cd 0.500 0.000 0.000

(4)
Density functional theory data (meta-GGA SCAN) for a PBEsol-optimized structure of Ta2CrCd.

For the uncorrected energy, the calculation gives -45.14 eV per atom. As for the density of states at the Fermi level: 0.91 states/eV per atom. The magnetization is 2.5 μB per cell. For the formation enthalpy at 0 K, the calculation gives 347 meV/atom.

Cell lengths 9.524, 9.524, 9.524 Å; angles 17.64, 17.64, 17.64 degrees
Element x y z (fractional)
1 Ta 0.000 0.000 0.000
2 Ta 0.246 0.246 0.246
3 Cr 0.507 0.507 0.507
4 Cd 0.757 0.757 0.757

(5)
Density functional theory data (meta-GGA SCAN) for a PBEsol-optimized structure of Ta2CrCd.

For the uncorrected energy, the calculation gives -45.10 eV per atom. As for the density of states at the Fermi level: 0.94 states/eV per atom. The magnetization is 0.0 μB per cell. For the formation enthalpy at 0 K, the calculation gives 394 meV/atom.

Cell lengths 5.345, 5.345, 2.707 Å; angles 98.99, 98.99, 117.19 degrees
Element x y z (fractional)
1 Ta 0.000 0.500 0.000
2 Ta 0.500 0.000 0.000
3 Cr 0.000 0.000 0.500
4 Cd 0.500 0.500 0.500

(6)
Density functional theory data (meta-GGA SCAN) for a PBEsol-optimized structure of TaCrCd.

For the uncorrected energy, the calculation gives -37.28 eV per atom. As for the density of states at the Fermi level: 1.26 states/eV per atom. The magnetization is 3.5 μB per cell. For the formation enthalpy at 0 K, the calculation gives 1180 meV/atom.

Cell lengths 4.383, 4.383, 4.383 Å; angles 60.00, 60.00, 60.00 degrees
Element x y z (fractional)
1 Ta 0.000 0.000 0.000
2 Cr 0.500 0.500 0.500
3 Cd 0.750 0.750 0.750

What is the magnetization in the sixth record?
3.5 μB per cell